InSe3 PBE relaxed; Fermi-level density of states = 0.58 states/eV/atom; volume = 114.1 Å³/cell; magnetic moment = 0.0 μB/f.u.; E_form (uncorrected) = 53 kJ/mol of formula units; uncorrected energy = -3.16 eV/atom
1.0
2.8177 0.0000 0.0000
0.0000 7.3328 0.0000
-0.1433 0.0000 5.5204
In Se
1 3
Direct
0.0000 0.0000 0.0000 In
0.0000 0.0000 0.5000 Se
0.4868 0.5000 0.2890 Se
0.5132 0.5000 0.7110 Se